Record 1
Density functional theory data (PBE) for a relaxed structure of BeSb8.

**Raw formation energy**: 0.26 eV per atom
**Energy**: -3.82 eV/atom

Cell lengths 8.4120, 8.4120, 8.4120 Å; angles 92.71, 92.71, 154.86 degrees
With the nearest neighbours (Å) after each atom.
Positions (direct):
Be (0.0000, 0.0000, 0.0000)  8 Sb 2.79
Sb (0.0000, 0.3452, 0.3452)  8 Sb 3.13-3.45
Sb (0.0000, 0.6548, 0.6548)  8 Sb 3.13-3.45
Sb (0.3452, 0.0000, 0.3452)  8 Sb 3.13-3.45
Sb (0.3717, 0.3717, 0.7435)  2 Be 2.79, 2 Sb 2.98
Sb (0.3717, 0.6283, 0.0000)  2 Be 2.79, 2 Sb 2.98
Sb (0.6283, 0.3717, 0.0000)  2 Be 2.79, 2 Sb 2.98
Sb (0.6283, 0.6283, 0.2565)  2 Be 2.79, 2 Sb 2.98
Sb (0.6548, 0.0000, 0.6548)  8 Sb 3.13-3.45

***

Record 2
Density functional theory data (PBE) for a relaxed structure of BeSb.

**Raw formation energy**: 0.32 eV per atom
**Energy**: -3.60 eV/atom
**Energy above the most stable polymorph in this dataset**: 150.6 meV/atom

Cell lengths 6.1183, 6.1183, 6.8528 Å; angles 123.21, 123.21, 38.09 degrees
With the nearest neighbours (Å) after each atom.
Positions (direct):
Be (0.0000, 0.0000, 0.0000)  4 Sb 2.48-2.53, 2 Be 2.58
Be (0.3969, 0.3969, 0.0910)  3 Be 2.31-2.58, 3 Sb 2.38-2.43
Be (0.5318, 0.5318, 0.5035)  1 Be 2.31, 3 Sb 2.44-2.45
Sb (0.6428, 0.6428, 0.2525)  3 Be 2.38-2.53
Sb (0.7548, 0.7548, 0.9030)  4 Be 2.43-2.51
Sb (0.9498, 0.9498, 0.5958)  3 Be 2.45-2.48

***

Record 3
Density functional theory data (PBE) for a relaxed structure of BeSb.

**Raw formation energy**: 0.20 eV per atom
**Energy**: -3.72 eV/atom
**Energy above the most stable polymorph in this dataset**: 35.5 meV/atom

Cell lengths 3.1293, 4.1319, 4.1822 Å; angles 119.35, 111.69, 90.05 degrees
With the nearest neighbours (Å) after each atom.
Positions (direct):
Be (0.0000, 0.0000, 0.0000)  4 Sb 2.44-2.54
Sb (0.8025, 0.3047, 0.6041)  4 Be 2.44-2.54

***

Record 4
Density functional theory data (PBE) for a relaxed structure of BeSb3.

**Raw formation energy**: 0.38 eV per atom
**Energy**: -3.64 eV/atom
**Energy above the most stable polymorph in this dataset**: 122.6 meV/atom

Cell lengths 3.3050, 3.3050, 8.9936 Å; angles 90.00, 90.00, 106.40 degrees
With the nearest neighbours (Å) after each atom.
Positions (direct):
Be (0.0000, 0.0000, 0.0000)  4 Sb 2.57
Sb (0.0000, 0.0000, 0.5000)  8 Sb 3.31-3.48
Sb (0.5000, 0.5000, 0.1814)  2 Be 2.57
Sb (0.5000, 0.5000, 0.8186)  2 Be 2.57